Version P
Compound: ScCoAs2Se
Source: the Alexandria database
Functional: GGA-PBEsol
Structure: optimized geometry

space group = P4/mmm (123)
crystal system = tetragonal

Cell: 4.9546 4.9799 4.9799 Å, 90.00 90.00 90.00°
With the nearest neighbours (Å) after each atom.
Fractional positions:
Sc 0.0000 0.0000 0.0000  2 Se 2.48, 4 As 2.49
As 0.0000 0.0000 0.5000  2 Sc 2.49
As 0.0000 0.5000 0.0000  2 Sc 2.49
Co 0.5000 0.5000 0.5000  8 As 3.51, 4 Se 3.52
Se 0.5000 0.0000 0.0000  2 Sc 2.48

=====

Version Q
Compound: ScCoAs2Se
Source: the Alexandria database
Functional: GGA-PBEsol
Structure: optimized geometry

space group = P4/mmm (123)
crystal system = tetragonal

Cell: 4.3870 4.3870 5.0024 Å, 90.00 90.00 90.00°
With the nearest neighbours (Å) after each atom.
Fractional positions:
Sc 0.5000 0.5000 0.5000  4 Se 3.10, 8 As 3.33
As 0.0000 0.5000 0.0000  2 Co 2.19
As 0.5000 0.0000 0.0000  2 Co 2.19
Co 0.0000 0.0000 0.0000  4 As 2.19
Se 0.0000 0.0000 0.5000  2 Co 2.50

=====

Which is the most stable structure? version Q is the most stable.

=====

Version P
Compound: TlCoAs2
Source: the Alexandria database
Functional: GGA-PBEsol
Structure: optimized geometry

space group = Fm-3m (225)
crystal system = cubic

Cell: 4.6399 4.6399 4.6399 Å, 60.00 60.00 60.00°
With the nearest neighbours (Å) after each atom.
Fractional positions:
Tl 0.5000 0.5000 0.5000  8 As 2.84
Co 0.0000 0.0000 0.0000  8 As 2.84
As 0.2500 0.2500 0.2500  4 Tl 2.84, 4 Co 2.84
As 0.7500 0.7500 0.7500  4 Tl 2.84, 4 Co 2.84

=====

Version Q
Compound: TlCoAs2
Source: the Alexandria database
Functional: GGA-PBEsol
Structure: optimized geometry

space group = Imm2 (44)
crystal system = orthorhombic

Cell: 2.9311 2.9641 8.9814 Å, 99.50 99.39 90.00°
With the nearest neighbours (Å) after each atom.
Fractional positions:
Tl 0.6865 0.1865 0.3731  4 Tl 2.93-2.96, 2 As 3.28
Co 0.4496 0.4496 0.8991  6 As 2.35-2.41
As 0.0186 0.0186 0.0372  4 Co 2.41
As 0.3453 0.8453 0.6905  2 Co 2.35

=====

Which is the most stable structure? version Q is the most stable.

=====

Version P
Compound: Tl2CoAs
Source: the Alexandria database
Functional: GGA-PBEsol
Structure: optimized geometry

space group = P2/m (10)
crystal system = monoclinic

Cell: 3.9131 4.1281 5.1791 Å, 104.32 90.00 90.00°
With the nearest neighbours (Å) after each atom.
Fractional positions:
Tl 0.0000 0.0000 0.0000  4 As 2.84, 2 Co 2.88
Tl 0.5000 0.0000 0.5000  4 Co 2.84, 2 As 2.88
Co 0.0000 0.5000 0.5000  6 Tl 2.84-2.88
As 0.5000 0.5000 0.0000  6 Tl 2.84-2.88

=====

Version Q
Compound: Tl2CoAs
Source: the Alexandria database
Functional: GGA-PBEsol
Structure: optimized geometry

space group = P2/m (10)
crystal system = monoclinic

Cell: 3.3391 4.5778 5.7097 Å, 109.33 90.00 90.00°
With the nearest neighbours (Å) after each atom.
Fractional positions:
Tl 0.0000 0.9409 0.2333  2 Co 2.62, 2 Tl 2.89-2.91
Tl 0.0000 0.0591 0.7667  2 Co 2.62, 2 Tl 2.89-2.91
Co 0.5000 0.5000 0.0000  4 Tl 2.62, 2 As 2.85
As 0.5000 0.5000 0.5000  2 Co 2.85, 4 Tl 3.01

=====

Version R
Compound: Tl2CoAs
Source: the Alexandria database
Functional: GGA-PBEsol
Structure: optimized geometry

space group = Fm-3m (225)
crystal system = cubic

Cell: 4.8515 4.8515 4.8515 Å, 60.00 60.00 60.00°
With the nearest neighbours (Å) after each atom.
Fractional positions:
Tl 0.7500 0.7500 0.7500  4 As 2.97, 4 Co 2.97
Tl 0.2500 0.2500 0.2500  4 As 2.97, 4 Co 2.97
Co 0.5000 0.5000 0.5000  8 Tl 2.97
As 0.0000 0.0000 0.0000  8 Tl 2.97

=====

Version S
Compound: Tl2CoAs
Source: the Alexandria database
Functional: GGA-PBEsol
Structure: optimized geometry

space group = Immm (71)
crystal system = orthorhombic

Cell: 3.5333 5.1201 5.3555 Å, 118.56 109.26 90.00°
With the nearest neighbours (Å) after each atom.
Fractional positions:
Tl 0.7269 0.7269 0.4538  2 Co 2.65, 2 As 2.97
Tl 0.2731 0.2731 0.5462  2 Co 2.65, 2 As 2.97
Co 0.0000 0.5000 0.0000  4 Tl 2.65
As 0.5000 0.0000 0.0000  8 Tl 2.97-3.24, 4 Co 3.11

=====

Which is the most stable structure? version Q is the most stable.

=====

Version P
Compound: CrFe3As
Source: the Alexandria database
Functional: GGA-PBEsol
Structure: optimized geometry

space group = Pm-3m (221)
crystal system = cubic

Cell: 4.2922 4.2922 4.2922 Å, 90.00 90.00 90.00°
With the nearest neighbours (Å) after each atom.
Fractional positions:
Cr 0.5000 0.5000 0.5000  12 Fe 3.04
As 0.0000 0.0000 0.0000  6 Fe 2.15
Fe 0.0000 0.5000 0.0000  2 As 2.15
Fe 0.0000 0.0000 0.5000  2 As 2.15
Fe 0.5000 0.0000 0.0000  2 As 2.15

=====

Version Q
Compound: CrFe3As
Source: the Alexandria database
Functional: GGA-PBEsol
Structure: optimized geometry

space group = Pm-3m (221)
crystal system = cubic

Cell: 4.1689 4.1689 4.1689 Å, 90.00 90.00 90.00°
With the nearest neighbours (Å) after each atom.
Fractional positions:
Cr 0.0000 0.0000 0.0000  6 Fe 2.08
As 0.5000 0.5000 0.5000  12 Fe 2.95
Fe 0.0000 0.5000 0.0000  2 Cr 2.08
Fe 0.0000 0.0000 0.5000  2 Cr 2.08
Fe 0.5000 0.0000 0.0000  2 Cr 2.08

=====

Which is the most stable structure? version P is the most stable.

=====

Version P
Compound: LaCrAs2
Source: the Alexandria database
Functional: GGA-PBEsol
Structure: optimized geometry

space group = Fm-3m (225)
crystal system = cubic

Cell: 4.8858 4.8858 4.8858 Å, 60.00 60.00 60.00°
With the nearest neighbours (Å) after each atom.
Fractional positions:
As 0.2500 0.2500 0.2500  4 Cr 2.99, 4 La 2.99
As 0.7500 0.7500 0.7500  4 Cr 2.99, 4 La 2.99
Cr 0.5000 0.5000 0.5000  8 As 2.99
La 0.0000 0.0000 0.0000  8 As 2.99

=====

Version Q
Compound: LaCrAs2
Source: the Alexandria database
Functional: GGA-PBEsol
Structure: optimized geometry

space group = Pmmm (47)
crystal system = orthorhombic

Cell: 4.0668 3.9801 5.6329 Å, 90.00 90.03 90.00°
With the nearest neighbours (Å) after each atom.
Fractional positions:
As 0.5003 0.0000 0.7420  2 Cr 2.46, 1 As 2.73
As 0.4997 0.0000 0.2580  2 Cr 2.46, 1 As 2.73
Cr 0.5000 0.5000 0.0000  4 As 2.46
La 0.0000 0.5000 0.5000  8 As 3.15-3.16, 4 Cr 3.47

=====

Version R
Compound: LaCrAs2
Source: the Alexandria database
Functional: GGA-PBEsol
Structure: optimized geometry

space group = P4/mmm (123)
crystal system = tetragonal

Cell: 3.8384 4.6895 4.6895 Å, 90.00 90.00 90.00°
With the nearest neighbours (Å) after each atom.
Fractional positions:
As 0.0000 0.0000 0.5000  4 Cr 3.03, 4 La 3.03, 4 As 3.32
As 0.0000 0.5000 0.0000  4 Cr 3.03, 4 La 3.03, 4 As 3.32
Cr 0.5000 0.5000 0.5000  8 As 3.03, 4 La 3.32
La 0.5000 0.0000 0.0000  8 As 3.03, 4 Cr 3.32

=====

Which is the most stable structure? version Q is the most stable.

=====

Version P
Compound: LiCrAs2
Source: the Alexandria database
Functional: GGA-PBEsol
Structure: optimized geometry

space group = R3m (160)
crystal system = trigonal

Cell: 2.7841 2.7841 9.9499 Å, 81.96 81.96 60.00°
With the nearest neighbours (Å) after each atom.
Fractional positions:
As 0.9850 0.9850 0.0450  3 Li 2.69, 6 As 2.78
As 0.7699 0.7699 0.6903  3 Cr 2.46
Cr 0.4999 0.4999 0.5004  3 As 2.46
Li 0.2453 0.2453 0.2642  3 As 2.69, 6 Li 2.78, 3 Cr 2.82

=====

Version Q
Compound: LiCrAs2
Source: the Alexandria database
Functional: GGA-PBEsol
Structure: optimized geometry

space group = R-3m (166)
crystal system = trigonal

Cell: 3.0824 3.0824 7.6735 Å, 78.41 78.41 60.00°
With the nearest neighbours (Å) after each atom.
Fractional positions:
Cr 0.5000 0.5000 0.5000  6 As 2.42
As 0.2400 0.2400 0.2800  3 Cr 2.42
As 0.7600 0.7600 0.7200  3 Cr 2.42
Li 0.0000 0.0000 0.0000  6 As 2.74

=====

Which is the most stable structure? version Q is the most stable.

=====

Version P
Compound: CrReAs2
Source: the Alexandria database
Functional: GGA-PBEsol
Structure: optimized geometry

space group = I-4m2 (119)
crystal system = tetragonal

Cell: 3.9342 3.9342 4.6487 Å, 115.03 115.03 90.00°
With the nearest neighbours (Å) after each atom.
Fractional positions:
As 0.0000 0.0000 0.0000  4 As 2.71, 4 Re 2.71, 4 Cr 2.78
As 0.7500 0.2500 0.5000  4 Cr 2.71, 4 As 2.71, 4 Re 2.78
Cr 0.5000 0.5000 0.0000  8 As 2.71-2.78, 4 Re 2.71
Re 0.2500 0.7500 0.5000  4 Cr 2.71, 8 As 2.71-2.78

=====

Version Q
Compound: CrReAs2
Source: the Alexandria database
Functional: GGA-PBEsol
Structure: optimized geometry

space group = F-43m (216)
crystal system = cubic

Cell: 4.3713 4.3713 4.3713 Å, 60.00 60.00 60.00°
With the nearest neighbours (Å) after each atom.
Fractional positions:
As 0.0000 0.0000 0.0000  4 Re 2.68, 4 As 2.68
As 0.7500 0.7500 0.7500  4 Cr 2.68, 4 As 2.68
Cr 0.5000 0.5000 0.5000  4 As 2.68, 4 Re 2.68
Re 0.2500 0.2500 0.2500  4 Cr 2.68, 4 As 2.68

=====

Which is the most stable structure? version P is the most stable.

=====

Version P
Compound: CrAs2Ru
Source: the Alexandria database
Functional: GGA-PBEsol
Structure: optimized geometry

space group = Pmm2 (25)
crystal system = orthorhombic

Cell: 2.9684 3.7067 5.2111 Å, 90.00 90.00 90.00°
With the nearest neighbours (Å) after each atom.
Fractional positions:
As 0.0000 0.0000 0.9479  4 Ru 2.51, 2 Cr 2.59-2.62
As 0.5000 0.5000 0.3085  4 Cr 2.49, 2 Ru 2.52-2.69
Cr 0.0000 0.0000 0.4506  6 As 2.49-2.62
Ru 0.5000 0.5000 0.7929  6 As 2.51-2.69

=====

Version Q
Compound: CrAs2Ru
Source: the Alexandria database
Functional: GGA-PBEsol
Structure: optimized geometry

space group = Cmm2 (35)
crystal system = orthorhombic

Cell: 2.7382 2.7382 9.3121 Å, 90.00 90.00 115.77°
With the nearest neighbours (Å) after each atom.
Fractional positions:
As 0.0000 0.0000 0.0483  2 Ru 2.51, 4 As 2.74
As 0.5000 0.5000 0.6963  2 Cr 2.43
Cr 0.0000 0.0000 0.4872  2 As 2.43, 2 Ru 2.50
Ru 0.5000 0.5000 0.2683  2 Cr 2.50, 2 As 2.51, 4 Ru 2.74

=====

Which is the most stable structure? version P is the most stable.

=====

Version P
Compound: ScCrAs2
Source: the Alexandria database
Functional: GGA-PBEsol
Structure: optimized geometry

space group = R-3m (166)
crystal system = trigonal

Cell: 3.7539 3.7539 6.1425 Å, 72.21 72.21 60.00°
With the nearest neighbours (Å) after each atom.
Fractional positions:
Sc 0.0000 0.0000 0.0000  6 As 2.69
Cr 0.5000 0.5000 0.5000  6 As 2.52
As 0.2407 0.2407 0.2778  3 Cr 2.52, 3 Sc 2.69
As 0.7593 0.7593 0.7222  3 Cr 2.52, 3 Sc 2.69

=====

Version Q
Compound: ScCrAs2
Source: the Alexandria database
Functional: GGA-PBEsol
Structure: optimized geometry

space group = P4mm (99)
crystal system = tetragonal

Cell: 3.7101 3.7101 5.2731 Å, 90.00 90.00 90.00°
With the nearest neighbours (Å) after each atom.
Fractional positions:
As 0.0000 0.0000 0.8747  4 Sc 2.62, 2 Cr 2.63-2.64
As 0.5000 0.5000 0.3754  4 Cr 2.62, 2 Sc 2.64
Cr 0.0000 0.0000 0.3744  6 As 2.62-2.64
Sc 0.5000 0.5000 0.8754  6 As 2.62-2.64

=====

Version R
Compound: ScCrAs2
Source: the Alexandria database
Functional: GGA-PBEsol
Structure: optimized geometry

space group = I-4m2 (119)
crystal system = tetragonal

Cell: 3.7489 3.7489 5.4967 Å, 109.94 109.94 90.00°
With the nearest neighbours (Å) after each atom.
Fractional positions:
As 0.0000 0.0000 0.0000  4 Cr 2.65
As 0.7500 0.2500 0.5000  4 Sc 2.65
Cr 0.5000 0.5000 0.0000  4 As 2.65
Sc 0.2500 0.7500 0.5000  4 As 2.65

=====

Which is the most stable structure? version P is the most stable.

=====

Version P
Compound: TlCrAs2
Source: the Alexandria database
Functional: GGA-PBEsol
Structure: optimized geometry

space group = R3m (160)
crystal system = trigonal

Cell: 3.1287 3.1287 8.8483 Å, 79.82 79.82 60.00°
With the nearest neighbours (Å) after each atom.
Fractional positions:
As 0.0076 0.0076 0.9773  9 As 2.95-3.13, 3 Tl 3.18
As 0.7638 0.7638 0.7085  3 Cr 2.35
Cr 0.4886 0.4886 0.5342  3 As 2.35
Tl 0.2400 0.2400 0.2800  3 Cr 2.85, 6 Tl 3.13, 3 As 3.18

=====

Version Q
Compound: TlCrAs2
Source: the Alexandria database
Functional: GGA-PBEsol
Structure: optimized geometry

space group = Imm2 (44)
crystal system = orthorhombic

Cell: 3.0043 3.2418 8.4616 Å, 101.04 100.23 90.00°
With the nearest neighbours (Å) after each atom.
Fractional positions:
As 0.0186 0.0186 0.0372  4 Cr 2.45
As 0.8419 0.3419 0.6838  2 Cr 2.37
Cr 0.4542 0.4542 0.9084  6 As 2.37-2.45
Tl 0.1853 0.6853 0.3706  4 Tl 3.00-3.24, 2 As 3.17

=====

Which is the most stable structure? version Q is the most stable.

=====

Version P
Compound: ZrCrAs2
Source: the Alexandria database
Functional: GGA-PBEsol
Structure: optimized geometry

space group = I-42d (122)
crystal system = tetragonal

Cell: 6.9174 6.9174 5.7278 Å, 127.15 127.15 90.00°
With the nearest neighbours (Å) after each atom.
Fractional positions:
Cr 0.7500 0.2500 0.5000  4 As 2.41
Cr 0.5000 0.5000 0.0000  4 As 2.41
As 0.8428 0.3750 0.2500  2 Cr 2.41
As 0.4072 0.8750 0.2500  2 Cr 2.41
As 0.6250 0.5928 0.7500  2 Cr 2.41
As 0.1250 0.1572 0.7500  2 Cr 2.41
Zr 0.2500 0.7500 0.5000  4 As 2.71, 2 Cr 2.98
Zr 0.0000 0.0000 0.0000  4 As 2.71, 2 Cr 2.98

=====

Version Q
Compound: ZrCrAs2
Source: the Alexandria database
Functional: GGA-PBEsol
Structure: optimized geometry

space group = P4mm (99)
crystal system = tetragonal

Cell: 3.6883 3.6883 5.3544 Å, 90.00 90.00 90.00°
With the nearest neighbours (Å) after each atom.
Fractional positions:
As 0.0000 0.0000 0.9165  2 Cr 2.63-2.72, 4 Zr 2.66
As 0.5000 0.5000 0.3359  2 Zr 2.61-2.75, 4 Cr 2.65
Cr 0.0000 0.0000 0.4245  6 As 2.63-2.72
Zr 0.5000 0.5000 0.8232  6 As 2.61-2.75

=====

Which is the most stable structure? version Q is the most stable.